Entry 1:
Material: Na2VIr2S6
Method: DFT, GGA-PBE
State: optimized geometry

Results
- E_form (uncorrected): -7.5 eV per formula unit

CIF file:
```
data_Na2VIr2S6
_chemical_formula_sum 'Na4 V2 Ir4 S12'
_symmetry_space_group_name_H-M 'C 1 2/m 1'
_symmetry_Int_Tables_number 12
_symmetry_space_group_name_Hall '-C 2y'
_cell_length_a 6.152
_cell_length_b 10.781
_cell_length_c 6.881
_cell_angle_alpha 90.00
_cell_angle_beta 107.80
_cell_angle_gamma 90.00
loop_
_atom_site_label
_atom_site_fract_x
_atom_site_fract_y
_atom_site_fract_z
Na1 0.000 0.167 0.000
V1 0.000 0.000 0.500
Ir1 0.000 0.334 0.500
S1 0.229 0.500 0.692
S2 0.232 0.170 0.689
```

Entry 2:
Material: NaCrSN2
Method: DFT, GGA-PBE
State: optimized geometry

Results
- E_form (uncorrected): 9.7 eV per formula unit
- Offset from the most stable computed form: 1802 meV per atom

CIF file:
```
data_NaCrSN2
_chemical_formula_sum 'Na1 Cr1 S1 N2'
_symmetry_space_group_name_H-M 'P 4/m m m'
_symmetry_Int_Tables_number 123
_symmetry_space_group_name_Hall '-P 4 2'
_cell_length_a 4.194
_cell_length_b 4.194
_cell_length_c 5.120
_cell_angle_alpha 90.00
_cell_angle_beta 90.00
_cell_angle_gamma 90.00
loop_
_atom_site_label
_atom_site_fract_x
_atom_site_fract_y
_atom_site_fract_z
Na1 0.000 0.000 0.000
Cr1 0.500 0.500 0.500
S1 0.000 0.000 0.500
N1 0.000 0.500 0.000
```

Entry 3:
Material: Ca6CdAg
Method: DFT, GGA-PBE
State: optimized geometry

Results
- Energy of formation from the pure elements: -163 meV/atom

CIF file:
```
data_Ca6CdAg
_chemical_formula_sum 'Ca12 Cd2 Ag2'
_symmetry_space_group_name_H-M 'I 4/m m m'
_symmetry_Int_Tables_number 139
_symmetry_space_group_name_Hall '-I 4 2'
_cell_length_a 5.407
_cell_length_b 5.407
_cell_length_c 18.884
_cell_angle_alpha 90.00
_cell_angle_beta 90.00
_cell_angle_gamma 90.00
loop_
_atom_site_label
_atom_site_fract_x
_atom_site_fract_y
_atom_site_fract_z
Ca1 0.000 0.000 0.249
Ca2 0.000 0.500 0.097
Cd1 0.000 0.000 0.000
Ag1 0.000 0.000 0.500
```